[1]
The following is a DFT calculation (PBE) of a relaxed Mg2Zr3Sc3 crystal.

Structure (extended XYZ):
```
8
Lattice="4.496 0.000 -0.944 -0.212 4.433 -1.010 -0.366 -0.204 9.440" Properties=species:S:1:pos:R:3 pbc="T T T"
Sc 1.329 1.506 6.332
Sc 2.589 2.723 1.154
Sc 2.248 0.000 -0.472
Mg 3.136 1.006 3.759
Mg 0.782 3.223 3.728
Zr 0.430 0.488 2.050
Zr 3.488 3.742 5.436
Zr -0.106 2.217 -0.505
```

Calculated values
* magnetic moment: 0.0 Bohr magnetons per cell
* energy of formation: -0.5 kJ per mole of atoms



[2]
The following is a DFT calculation (PBE) of a relaxed Mg3Zr5Sc12 crystal.

Structure (extended XYZ):
```
80
Lattice="-4.132 13.776 -3.065 -6.012 -9.208 -9.763 -4.511 -3.574 13.532" Properties=species:S:1:pos:R:3 pbc="T T T"
Sc -11.462 2.973 -3.397
Sc -6.758 -2.019 -0.817
Sc -10.513 -7.443 3.382
Sc -8.207 8.930 7.974
Sc -10.591 -6.409 0.296
Sc -6.062 -0.348 -6.745
Sc -10.227 0.272 4.846
Sc -5.248 -3.256 -5.967
Sc -8.099 0.506 -2.373
Sc -10.242 2.195 -7.800
Sc -9.503 -1.403 -4.401
Sc -10.934 -3.037 -1.977
Sc -8.592 1.342 7.449
Sc -7.258 8.549 -2.631
Sc -6.652 -6.016 7.040
Sc -7.116 9.665 5.146
Sc -4.141 8.437 -2.678
Sc -7.965 -3.901 -2.991
Sc -6.690 4.895 3.695
Sc -9.724 -0.976 0.026
Sc -8.003 7.010 -6.336
Sc -4.413 -1.201 8.504
Sc -7.161 7.752 0.523
Sc -7.451 -3.049 6.502
Sc -7.538 -8.671 -4.442
Sc -3.416 -2.160 -3.510
Sc -7.897 3.013 1.521
Sc -5.152 2.397 5.105
Sc -4.931 1.970 0.678
Sc -3.720 4.031 2.681
Sc -7.228 -4.430 2.441
Sc -4.428 0.722 -4.142
Sc -4.326 5.254 -2.023
Sc -11.239 3.154 4.214
Sc -2.295 -1.092 1.249
Sc -3.193 -1.979 4.101
Sc -5.291 -1.851 11.425
Sc -10.329 -4.260 2.727
Sc -7.204 4.043 -5.798
Sc -6.447 -7.937 -7.270
Sc -4.063 7.402 0.408
Sc -7.427 5.424 -1.737
Sc -9.363 2.845 -10.721
Sc -7.494 -6.758 0.181
Sc -12.360 2.086 -0.545
Sc -9.407 4.250 6.671
Sc -6.556 0.488 3.077
Sc -7.397 -7.556 3.335
Zr -8.548 3.237 -3.326
Zr -5.684 1.334 7.779
Zr -2.255 -1.787 6.766
Zr 0.000 0.000 0.000
Zr -4.321 5.101 5.233
Zr -6.857 -5.060 -7.617
Zr -7.327 0.497 0.352
Zr -3.899 -2.624 -0.661
Zr -3.616 2.417 -1.899
Zr -8.971 -0.340 -7.075
Zr -7.797 6.053 8.321
Zr -5.262 -6.391 1.885
Zr -10.756 3.618 1.365
Zr -3.006 -4.604 -4.881
Zr -2.066 6.888 -1.533
Zr -11.038 -1.423 2.603
Zr -6.107 -2.243 4.030
Zr -7.938 7.518 3.335
Zr -6.717 -6.524 -2.631
Zr -5.072 2.284 -6.414
Mg -8.688 4.701 -8.313
Mg -5.967 -3.707 9.017
Mg -11.179 0.041 -2.384
Mg -5.494 10.009 -0.519
Mg -5.777 4.968 0.718
Mg -3.476 0.953 3.088
Mg -9.160 -9.016 1.223
Mg -8.878 -3.974 -0.014
Mg -6.435 -1.482 -3.868
Mg -8.738 -5.438 4.972
Mg -5.917 6.432 -4.268
Mg -8.220 2.476 4.572
```

Calculated values
* magnetic moment: 49.3 Bohr magnetons per cell
* energy of formation: 109.5 kJ per mole of atoms



[3]
The following is a DFT calculation (PBE) of a relaxed Mg6ZrSc5 crystal.

Structure (extended XYZ):
```
12
Lattice="4.796 -0.029 1.600 0.038 7.149 0.013 -0.005 -0.014 8.016" Properties=species:S:1:pos:R:3 pbc="T T T"
Mg 0.824 5.362 5.624
Mg 0.805 1.758 5.617
Mg 2.408 1.773 0.803
Mg 4.006 1.744 4.005
Mg 2.427 5.347 0.809
Mg 4.025 5.348 4.011
Sc 0.019 3.574 0.006
Sc 1.646 7.134 3.188
Sc 3.184 -0.029 6.440
Sc 3.216 3.546 6.409
Sc 1.613 3.560 3.220
Zr 0.000 0.000 0.000
```

Calculated values
* magnetic moment: 0.0 Bohr magnetons per cell
* energy of formation: -1.7 kJ per mole of atoms